An optimized crystal structure of YTmZr2As2, computed with GGA-PBE.

a = 4.0757 Å, b = 4.0757 Å, c = 15.8302 Å
α = 90.00°, β = 90.00°, γ = 90.00°
Last column: nearest neighbours and their distance in Å.
Space group I4mm (No. 107)
Unique sites:
Y (0.0000, 0.0000, 0.0000) x2  5 As 2.97
Tm (0.0000, 0.0000, 0.3559) x2  5 As 2.96-2.99
Zr (0.0000, 0.5000, 0.1790) x4  4 Zr 2.88, 4 As 2.94
As (0.0000, 0.0000, 0.5449) x2  4 Zr 2.94, 4 Y 2.97, 1 Tm 2.99
As (0.0000, 0.0000, 0.8124) x2  4 Zr 2.94, 4 Tm 2.96, 1 Y 2.97



An optimized crystal structure of TmZrAs, computed with GGA-PBE.

a = 6.5503 Å, b = 6.5503 Å, c = 6.5503 Å
α = 90.00°, β = 90.00°, γ = 90.00°
Last column: nearest neighbours and their distance in Å.
Space group F-43m (No. 216)
Unique sites:
Tm (0.0000, 0.0000, 0.0000) x4  4 As 2.84
Zr (0.0000, 0.0000, 0.5000) x4  4 As 2.84
As (0.2500, 0.2500, 0.2500) x4  4 Zr 2.84, 4 Tm 2.84



An optimized crystal structure of Tm2ZrAs3, computed with GGA-PBE.

a = 3.9782 Å, b = 3.9782 Å, c = 9.8173 Å
α = 90.00°, β = 90.00°, γ = 120.00°
Last column: nearest neighbours and their distance in Å.
Space group P-3m1 (No. 164)
Unique sites:
Tm (0.3333, 0.6667, 0.3296) x2  6 As 2.84
Zr (0.0000, 0.0000, 0.0000) x1  6 As 2.78
As (0.0000, 0.0000, 0.5000) x1  6 Tm 2.84
As (0.3333, 0.6667, 0.8411) x2  3 Zr 2.78, 3 Tm 2.84



An optimized crystal structure of UAs, computed with GGA-PBE.

a = 5.8124 Å, b = 4.7612 Å, c = 7.2946 Å
α = 90.00°, β = 90.00°, γ = 90.00°
Last column: nearest neighbours and their distance in Å.
Space group Pmma (No. 51)
Unique sites:
U (0.0000, 0.0000, 0.0000) x2  6 U 2.91-3.12, 6 As 3.06-3.14
U (0.2500, 0.5000, 0.1916) x2  5 As 2.71-2.91
As (0.2500, 0.0000, 0.3697) x2  2 U 2.71
As (0.2500, 0.5000, 0.8017) x2  7 U 2.84-3.14



An optimized crystal structure of UAs, computed with GGA-PBE.

a = 3.1607 Å, b = 3.1607 Å, c = 4.7210 Å
α = 90.00°, β = 90.00°, γ = 120.00°
Last column: nearest neighbours and their distance in Å.
Space group P-6m2 (No. 187)
Unique sites:
U (0.0000, 0.0000, 0.0000) x1  6 As 2.98, 6 U 3.16
As (0.3333, 0.6667, 0.5000) x1  6 U 2.98, 6 As 3.16



An optimized crystal structure of UAs, computed with GGA-PBE.

a = 6.4708 Å, b = 6.4708 Å, c = 6.4708 Å
α = 90.00°, β = 90.00°, γ = 90.00°
Last column: nearest neighbours and their distance in Å.
Space group F-43m (No. 216)
Unique sites:
U (0.0000, 0.0000, 0.0000) x4  4 As 2.80
As (0.2500, 0.2500, 0.2500) x4  4 U 2.80



Energy (eV/atom)
-7.212; -6.465; -6.616; -8.112; -8.169; -7.817